Record 1
Ca2TiZn, relaxed, DFT PBE-GGA; magnetization = 2.16 μB per formula unit; energy of formation from the pure elements = 0.4871 eV/atom; energy = -2.806 eV per atom
1.0
8.398 0.000 0.000
0.000 8.398 0.000
4.199 4.199 3.098
Zn Ca Ti
2 4 2
direct
0.000 0.000 0.000
0.750 0.250 0.500
0.659 0.125 0.250
0.091 0.625 0.250
0.375 0.341 0.750
0.875 0.909 0.750
0.500 0.500 0.000
0.250 0.750 0.500

Record 2
Ac3Ag2Rh, relaxed, DFT PBE-GGA; magnetization = 0.00 μB per formula unit; energy of formation from the pure elements = -0.3671 eV/atom; excess energy over the best structure of this formula in the dataset = 16 meV per atom; energy = -4.597 eV per atom
1.0
-1.387 -5.897 1.890
1.924 -2.993 -7.926
6.965 2.746 3.023
Ac Ag Rh
6 4 2
direct
0.500 0.250 0.000
0.500 0.750 0.000
0.143 0.071 0.286
0.856 0.429 0.714
0.144 0.571 0.286
0.857 0.929 0.714
0.678 0.589 0.355
0.677 0.089 0.355
0.323 0.911 0.645
0.322 0.411 0.645
0.999 0.750 0.000
0.001 0.250 0.000

Record 3
TlHgHSe2, relaxed, DFT PBE-GGA; magnetization = 0.86 μB per formula unit; energy = -1.801 eV per atom
1.0
-1.693 -1.577 -4.853
-1.399 -5.796 2.371
-4.967 1.684 1.185
H Tl Hg Se
1 1 1 2
direct
0.500 0.500 0.500
0.000 0.000 0.000
0.000 0.500 0.000
0.000 0.000 0.500
0.500 0.000 0.000

Record 4
BeSb4Cl, relaxed, DFT PBE-GGA; magnetization = 0.00 μB per formula unit; energy = -3.128 eV per atom; E_form (uncorrected) = 549.0 meV per atom
1.0
0.000 4.401 4.401
4.401 0.000 4.401
4.401 4.401 0.000
Be Sb Cl
1 4 1
direct
0.750 0.750 0.750
0.896 0.368 0.368
0.368 0.368 0.896
0.368 0.896 0.368
0.368 0.368 0.368
0.000 0.000 0.000

Record 5
Hf2AlCo2, relaxed, DFT PBE-GGA; magnetization = 0.00 μB per formula unit; energy of formation from the pure elements = -0.4521 eV/atom; energy = -8.024 eV per atom
1.0
6.957 0.000 0.000
0.000 6.957 0.000
0.000 0.000 3.264
Co Hf Al
4 4 2
direct
0.371 0.871 0.000
0.871 0.629 0.000
0.629 0.129 0.000
0.129 0.371 0.000
0.171 0.671 0.500
0.671 0.829 0.500
0.829 0.329 0.500
0.329 0.171 0.500
0.000 0.000 0.000
0.500 0.500 0.000

Record 6
HgRu2O, relaxed, DFT PBE-GGA; magnetization = 0.00 μB per formula unit; excess energy over the best structure of this formula in the dataset = 0 meV per atom; energy = -5.631 eV per atom; E_form (uncorrected) = 322.0 meV per atom
1.0
-4.032 2.913 4.050
-4.876 -1.203 -3.989
-4.959 -1.826 1.456
Ru Hg O
4 2 2
direct
0.497 0.125 0.250
0.253 0.625 0.250
0.375 0.503 0.750
0.875 0.747 0.750
0.000 0.000 0.000
0.750 0.250 0.500
0.500 0.500 0.000
0.250 0.750 0.500